Record 1
Sc4AlTe: relaxed, GGA-PBE.

total DFT energy (no corrections)	-5.319	eV per atom

Structure (POSCAR):
```
Sc4AlTe
1.0
0.000 4.124 4.124
4.124 0.000 4.124
4.124 4.124 0.000
Al Sc Te
1 4 1
Direct
0.000 0.000 0.000
0.374 0.374 0.374
0.879 0.374 0.374
0.374 0.374 0.879
0.374 0.879 0.374
0.750 0.750 0.750
```

Record 2
Sm2Y4Cd: relaxed, GGA-PBE.

total DFT energy (no corrections)	-5.183	eV per atom
E_form	-9.7	meV per atom

Structure (POSCAR):
```
Sm2Y4Cd
1.0
3.605 0.000 0.000
0.000 8.232 -0.207
-1.803 -4.097 7.674
Cd Y Sm
1 4 2
Direct
0.000 0.000 0.000
0.441 0.618 0.881
0.856 0.180 0.713
0.144 0.820 0.287
0.559 0.382 0.119
0.787 0.703 0.575
0.213 0.297 0.425
```

Record 3
Ba2BeTeC: relaxed, GGA-PBE.

total DFT energy (no corrections)	-4.235	eV per atom

Structure (POSCAR):
```
Ba2BeTeC
1.0
6.171 0.000 0.000
0.000 3.444 0.000
0.000 0.000 6.171
Ba Be C Te
2 1 1 1
Direct
0.000 0.000 0.500
0.500 0.000 0.000
0.000 0.000 0.000
0.000 0.500 0.000
0.500 0.500 0.500
```

Record 4
NdSm2SiN4: relaxed, GGA-PBE.

total DFT energy (no corrections)	-7.810	eV per atom

Structure (POSCAR):
```
NdSm2SiN4
1.0
3.451 0.000 0.000
-1.726 5.848 0.000
0.000 0.000 11.893
N Nd Sm Si
8 2 4 2
Direct
0.730 0.459 0.865
0.596 0.192 0.250
0.270 0.541 0.365
0.270 0.541 0.135
0.730 0.459 0.635
0.000 0.000 0.500
0.000 0.000 0.000
0.404 0.808 0.750
0.910 0.819 0.250
0.090 0.181 0.750
0.368 0.736 0.957
0.632 0.264 0.043
0.368 0.736 0.543
0.632 0.264 0.457
0.179 0.359 0.250
0.821 0.641 0.750
```